1.
Material: NdSmYHo
Method: DFT, PBE
State: optimized geometry

Summary:
- offset from the most stable computed form (eV/atom) = 0.096
- energy of formation from the pure elements (eV/f.u.) = 0.46

Cell lengths 5.7367, 5.7367, 5.7367 Å; angles 60.00, 60.00, 60.00 degrees
Last column: nearest neighbours and their distance in Å.
Fractional coordinates of all 4 atoms:
1 Nd 0.0000 0.0000 0.0000  4 Ho 3.51, 4 Y 3.51
2 Sm 0.5000 0.5000 0.5000  4 Ho 3.51, 4 Y 3.51
3 Y 0.7500 0.7500 0.7500  4 Nd 3.51, 4 Sm 3.51
4 Ho 0.2500 0.2500 0.2500  4 Nd 3.51, 4 Sm 3.51

---

2.
Material: Y4FeSi
Method: DFT, PBE
State: optimized geometry

Summary:
- ΔE_f (raw) (eV per atom) = 0.79

Cell lengths 6.0878, 6.0878, 6.0878 Å; angles 60.00, 60.00, 60.00 degrees
Last column: nearest neighbours and their distance in Å.
Fractional coordinates of all 6 atoms:
1 Y 0.1251 0.1251 0.1251  6 Y 3.04-3.05
2 Y 0.1251 0.1251 0.6246  6 Y 3.04-3.05
3 Y 0.1251 0.6246 0.1251  6 Y 3.04-3.05
4 Y 0.6246 0.1251 0.1251  6 Y 3.04-3.05
5 Fe 0.7500 0.7500 0.7500  12 Y 3.57, 4 Si 3.73
6 Si 0.5000 0.5000 0.5000  12 Y 3.57, 4 Fe 3.73

---

3.
Material: CaZn3Mo
Method: DFT, PBE
State: optimized geometry

Summary:
- offset from the most stable computed form (eV/atom) = 1.137
- energy of formation from the pure elements (eV/f.u.) = 7.74

Cell lengths 5.3665, 5.3665, 5.3665 Å; angles 90.00, 90.00, 90.00 degrees
Last column: nearest neighbours and their distance in Å.
Fractional coordinates of all 5 atoms:
1 Ca 0.0000 0.0000 0.0000  6 Zn 2.68
2 Zn 0.0000 0.0000 0.5000  2 Ca 2.68
3 Zn 0.0000 0.5000 0.0000  2 Ca 2.68
4 Zn 0.5000 0.0000 0.0000  2 Ca 2.68
5 Mo 0.5000 0.5000 0.5000  12 Zn 3.79

---

4.
Material: HfTa2CrN
Method: DFT, PBE
State: optimized geometry

Summary:
- ΔE_f (raw) (eV per atom) = 3.00

Cell lengths 4.9638, 4.9638, 4.3391 Å; angles 90.00, 90.00, 90.00 degrees
Last column: nearest neighbours and their distance in Å.
Fractional coordinates of all 5 atoms:
1 Hf 0.0000 0.0000 0.0000  2 Cr 2.17
2 Ta 0.0000 0.5000 0.0000  2 Hf 2.48
3 Ta 0.5000 0.0000 0.0000  2 Hf 2.48
4 Cr 0.0000 0.0000 0.5000  2 Hf 2.17
5 N 0.5000 0.5000 0.5000  8 Ta 3.30, 4 Cr 3.51

---

The calculation returns the following spin magnetization values, one per record and in order: 0.00 3.00 4.48 0.00 μB/f.u..
The calculation returns the following raw total energy values, one per record and in order: -5.0173 -5.8292 -1.7833 -7.3257 eV/atom.